Computed, not measured: an optimized crystal structure of NiWO2F at the PBE+U level of DFT.

- final energy (eV per cell) = -24.01
- total magnetization (μB per cell) = 3.89
- volume (Å³/atom) = 11.30

Lattice parameters (Å, degrees): 3.9395 3.9395 3.6402 90.00 90.00 90.00
Element x y z (fractional)
1 F 0.0000 0.0000 0.5000
2 O 0.0000 0.5000 0.0000
3 O 0.5000 0.0000 0.0000
4 W 0.5000 0.5000 0.5000
5 Ni 0.0000 0.0000 0.0000